Entry 1:
Material: TcAsIr
Method: DFT, PBE
State: relaxed

Cell and atoms, written as POSCAR:
```
TcAsIr
1.0
4.6745 -1.4384 0.0000
4.6745 1.4384 0.0000
-1.0322 0.0000 6.8876
Tc As Ir
2 2 2
direct
0.1293 0.1293 0.4339
0.8707 0.8707 0.5661
0.3504 0.3504 0.8703
0.6496 0.6496 0.1297
0.3809 0.3809 0.2462
0.6191 0.6191 0.7538
```

- Calculated volume: 15.437 Å³/atom
- Spin magnetization: 0.00 μB per formula unit
- Density of states at the Fermi level: 1.457 states/eV/f.u.
- Crystal system: monoclinic
- Energy relative to the elements: -0.069 eV per atom
- Space-group type: No. 12
- Total DFT energy (no corrections): -8.0280 eV per atom


Entry 2:
Material: TcAsIr
Method: DFT, PBE
State: relaxed

Cell and atoms, written as POSCAR:
```
TcAsIr
1.0
-1.4451 2.0151 3.8947
1.4451 -2.0151 3.8947
1.4451 2.0151 -3.8947
Tc As Ir
1 1 1
direct
0.0000 0.0000 0.0000
0.6772 0.6772 0.0000
0.3532 0.3532 0.0000
```

- Calculated volume: 15.122 Å³/atom
- Spin magnetization: 0.00 μB per formula unit
- Density of states at the Fermi level: 2.989 states/eV/f.u.
- Crystal system: orthorhombic
- Energy relative to the elements: 0.232 eV per atom
- Space-group type: No. 44
- Total DFT energy (no corrections): -7.7271 eV per atom


Entry 3:
Material: Tc2AsIr
Method: DFT, PBE
State: relaxed

Cell and atoms, written as POSCAR:
```
Tc2AsIr
1.0
4.5481 -1.4252 0.0000
4.5481 1.4252 0.0000
-0.3584 0.0000 4.6199
Tc As Ir
2 1 1
direct
0.2328 0.2328 0.2396
0.7672 0.7672 0.7604
0.0000 0.0000 0.5000
0.5000 0.5000 0.0000
```

- Calculated volume: 14.973 Å³/atom
- Spin magnetization: 0.00 μB per formula unit
- Density of states at the Fermi level: 3.724 states/eV/f.u.
- Crystal system: monoclinic
- Energy relative to the elements: 0.109 eV per atom
- Space-group type: No. 12
- Total DFT energy (no corrections): -8.4521 eV per atom


Entry 4:
Material: Tc2AsIr
Method: DFT, PBE
State: relaxed

Cell and atoms, written as POSCAR:
```
Tc2AsIr
1.0
2.7593 -2.7504 0.0000
2.7593 2.7504 0.0000
-2.6153 0.0000 3.8814
Tc As Ir
2 1 1
direct
0.0000 0.0000 0.0000
0.7826 0.2174 0.5000
0.5029 0.4971 0.0000
0.2858 0.7142 0.5000
```

- Calculated volume: 14.728 Å³/atom
- Spin magnetization: 0.00 μB per formula unit
- Density of states at the Fermi level: 3.693 states/eV/f.u.
- Crystal system: monoclinic
- Energy relative to the elements: 0.153 eV per atom
- Space-group type: No. 5
- Total DFT energy (no corrections): -8.4079 eV per atom


Entry 5:
Material: TcAsIr2
Method: DFT, PBE
State: relaxed

Cell and atoms, written as POSCAR:
```
TcAsIr2
1.0
-1.4622 2.2287 4.5474
1.4622 -2.2287 4.5474
1.4622 2.2287 -4.5474
Tc As Ir
1 1 2
direct
0.0000 0.0000 0.0000
0.2175 0.7175 0.5000
0.4350 0.4350 0.0000
0.7232 0.2232 0.5000
```

- Calculated volume: 14.818 Å³/atom
- Spin magnetization: 0.00 μB per formula unit
- Density of states at the Fermi level: 4.706 states/eV/f.u.
- Crystal system: orthorhombic
- Energy relative to the elements: 0.150 eV per atom
- Space-group type: No. 44
- Total DFT energy (no corrections): -8.0343 eV per atom


Entry 6:
Material: TcAsIr2
Method: DFT, PBE
State: relaxed

Cell and atoms, written as POSCAR:
```
TcAsIr2
1.0
4.5978 -1.4084 0.0000
4.5978 1.4084 0.0000
-1.6201 0.0000 4.6298
Tc As Ir
1 1 2
direct
0.0000 0.0000 0.0000
0.2848 0.2848 0.6459
0.5443 0.5443 0.4986
0.7605 0.7605 0.1936
```

- Calculated volume: 14.991 Å³/atom
- Spin magnetization: 0.00 μB per formula unit
- Density of states at the Fermi level: 2.681 states/eV/f.u.
- Crystal system: monoclinic
- Energy relative to the elements: 0.093 eV per atom
- Space-group type: No. 8
- Total DFT energy (no corrections): -8.0911 eV per atom


Entry 7:
Material: TcAsIr2
Method: DFT, PBE
State: relaxed

Cell and atoms, written as POSCAR:
```
TcAsIr2
1.0
2.7372 -3.8818 0.0000
2.7372 3.8818 0.0000
0.0000 0.0000 2.8070
Tc As Ir
1 1 2
direct
0.0000 0.0000 0.0000
0.5000 0.5000 0.0000
0.0000 0.5000 0.5000
0.5000 0.0000 0.5000
```

- Calculated volume: 14.912 Å³/atom
- Spin magnetization: 0.00 μB per formula unit
- Density of states at the Fermi level: 3.906 states/eV/f.u.
- Crystal system: orthorhombic
- Energy relative to the elements: 0.163 eV per atom
- Space-group type: No. 65
- Total DFT energy (no corrections): -8.0214 eV per atom


Entry 8:
Material: TcAsIr
Method: DFT, PBE
State: relaxed

Cell and atoms, written as POSCAR:
```
TcAsIr
1.0
5.6483 0.0000 0.0000
0.0000 2.9226 0.0000
-2.7385 0.0000 5.8035
Tc As Ir
2 2 2
direct
0.0000 0.0000 0.0000
0.1233 0.5000 0.7220
0.3904 0.5000 0.2878
0.9485 0.0000 0.3750
0.5178 0.0000 0.0310
0.6155 0.5000 0.7106
```

- Calculated volume: 15.967 Å³/atom
- Spin magnetization: 0.00 μB per formula unit
- Density of states at the Fermi level: 2.358 states/eV/f.u.
- Crystal system: monoclinic
- Energy relative to the elements: -0.059 eV per atom
- Space-group type: No. 6
- Total DFT energy (no corrections): -8.0182 eV per atom


spin magnetization of number 5 (TcAsIr2)?
0.00 μB per formula unit


Which value of density of states at the Fermi level does entry 8 give?
2.358 states/eV/f.u.


Number 4 is which compound?
Tc2AsIr


Look up the calculated volume of the sixth one.
14.991 Å³/atom